Record 1
A PBEsol-optimized structure of ScMn2Ag. Source: the Alexandria database, functional meta-GGA SCAN.

abc: 2.8970 2.8970 7.0390
angles: 90.00 90.00 90.00
Fractional positions:
Ag1 0.5000 0.5000 0.7811
Mn1 0.0000 0.0000 0.0407
Mn2 0.5000 0.5000 0.2065
Sc1 0.0000 0.0000 0.4718

## Properties
The calculation puts the formation energy at -8.5 kJ per mole of atoms. As for the symmetry: P4mm.

Record 2
A PBEsol-optimized structure of Mn2AgSe2. Source: the Alexandria database, functional meta-GGA SCAN.

abc: 3.5298 3.5298 7.2143
angles: 104.16 104.16 90.00
Fractional positions:
Mn1 0.2500 0.7500 0.5000
Mn2 0.7500 0.2500 0.5000
Se1 0.3697 0.3697 0.7393
Se2 0.6303 0.6303 0.2607
Ag1 0.0000 0.0000 0.0000

## Properties
For the uncorrected formation energy, the calculation gives -0.091 eV/atom. As for the symmetry: I4/mmm.

Record 3
A PBEsol-optimized structure of MnAg2Se2. Source: the Alexandria database, functional meta-GGA SCAN.

abc: 3.8301 3.8301 7.3888
angles: 105.02 105.02 90.00
Fractional positions:
Mn1 0.0000 0.0000 0.0000
Se1 0.2500 0.7500 0.5000
Se2 0.7500 0.2500 0.5000
Ag1 0.4063 0.4063 0.8126
Ag2 0.5937 0.5937 0.1874

## Properties
For the uncorrected formation energy, the calculation gives 0.302 eV/atom. As for the symmetry: I4/mmm.

Record 4
A PBEsol-optimized structure of MnAgSe. Source: the Alexandria database, functional meta-GGA SCAN.

abc: 4.3111 4.3111 4.3111
angles: 60.00 60.00 60.00
Fractional positions:
Ag1 0.5000 0.5000 0.5000
Mn1 0.2500 0.2500 0.2500
Se1 0.0000 0.0000 0.0000

## Properties
For the uncorrected formation energy, the calculation gives -0.186 eV/atom. As for the symmetry: F-43m.

Record 5
A PBEsol-optimized structure of MnSiAgSe2. Source: the Alexandria database, functional meta-GGA SCAN.

abc: 4.5479 5.1351 5.1351
angles: 90.00 90.00 90.00
Fractional positions:
Si1 0.5000 0.0000 0.0000
Mn1 0.5000 0.5000 0.5000
Se1 0.0000 0.0000 0.5000
Se2 0.0000 0.5000 0.0000
Ag1 0.0000 0.0000 0.0000

## Properties
For the uncorrected formation energy, the calculation gives 0.724 eV/atom. As for the symmetry: P4/mmm.

Record 6
A PBEsol-optimized structure of Ti2MnAgSe. Source: the Alexandria database, functional meta-GGA SCAN.

abc: 4.9419 4.9419 4.8133
angles: 90.00 90.00 90.00
Fractional positions:
Mn1 0.5000 0.5000 0.5000
Se1 0.0000 0.0000 0.5000
Ag1 0.0000 0.0000 0.0000
Ti1 0.0000 0.5000 0.0000
Ti2 0.5000 0.0000 0.0000

## Properties
For the uncorrected formation energy, the calculation gives 0.919 eV/atom. As for the symmetry: P4/mmm.

no.,total magnetization (μB per formula unit)
1,1.25
2,4.54
3,4.91
4,4.22
5,4.96
6,0.12